## ErGa2Ag3 (PBE-GGA)

Data for an optimized crystal structure of ErGa2Ag3.

The structure belongs to space group C2/m (No. 12); the cell edges are 15.851, 4.426 and 6.923 Å and the angles 90.00°, 107.96° and 90.00°. The distinct sites, in fractional coordinates, are Er at (0.120, 0.000, 0.176), Ga at (0.013, 0.500, 0.824), Ga at (0.233, 0.000, 0.669), Ag at (0.067, 0.000, 0.693), Ag at (0.133, 0.500, 0.498) and Ag at (0.192, 0.500, 0.926).

As for the energy relative to the elements: -0.262 eV per atom. For the spin magnetization, the calculation gives 0.00 Bohr magnetons per cell. The energy above the most stable polymorph in this dataset comes out at 0.000 eV/atom.